Below is a relaxed structure of SbPSe, with properties calculated at the PBE-GGA level.

Unit cell a=5.5898 b=5.5898 c=5.5898 alpha=141.32 beta=141.32 gamma=55.86
Closest atoms and distances in Å follow each position.
Sites, in units of the cell vectors:
Se 0.6495 0.6495 0.0000  1 Sb 2.71
P 0.9752 0.9752 0.0000  4 Sb 2.80, 4 Se 3.13
Sb 0.3753 0.3753 0.0000  1 Se 2.71, 4 P 2.80

For the uncorrected formation energy, the calculation gives 0.432 eV per atom. The calculation puts the total magnetization at 0.000 μB/atom. The total energy is -11.7 eV/cell.